(1)
Rb2TlTcPt: optimized geometry, GGA-PBE.

```
Rb2TlTcPt
1.0
6.731 0.000 0.000
0.000 5.139 0.000
0.000 0.000 6.731
Rb Tl Pt Tc
2 1 1 1
Direct
0.500 0.000 0.000 Rb
0.000 0.000 0.500 Rb
0.000 0.000 0.000 Tl
0.000 0.500 0.000 Pt
0.500 0.500 0.500 Tc
```

Calculated values
Space-group type: P4/mmm
Formation energy from the elements (eV/atom): 1.24
Total magnetization (μB per formula unit): 4.17

(2)
SiTeCl2: optimized geometry, GGA-PBE.

```
SiTeCl2
1.0
-2.866 3.355 2.101
-3.244 -3.476 1.129
4.659 -0.457 1.401
Cl Si Te
2 1 1
Direct
0.250 0.750 0.500 Cl
0.000 0.000 0.000 Cl
0.500 0.500 0.000 Si
0.750 0.250 0.500 Te
```

Calculated values
Space-group type: F-43m
Offset from the most stable computed form (meV per atom): 480
Total magnetization (μB per formula unit): 0.00
E_form (uncorrected) (meV/atom): 157

(3)
LiTi3Te: optimized geometry, GGA-PBE.

```
LiTi3Te
1.0
-0.540 3.385 -2.838
-1.617 -2.812 -3.046
-4.111 0.662 1.571
Te Ti Li
1 3 1
Direct
0.500 0.500 0.500 Te
0.000 0.000 0.500 Ti
0.500 0.000 0.000 Ti
0.000 0.500 0.000 Ti
0.000 0.000 0.000 Li
```

Calculated values
Space-group type: Pm-3m
Offset from the most stable computed form (meV per atom): 0
Total magnetization (μB per formula unit): 0.00
E_form (uncorrected) (meV/atom): 491

(4)
GaReTc2: optimized geometry, GGA-PBE.

```
GaReTc2
1.0
-0.347 -2.760 0.864
2.529 0.133 1.439
-3.308 2.173 5.611
Ga Re Tc
1 1 2
Direct
0.500 0.500 0.500 Ga
0.500 0.500 0.000 Re
0.000 0.000 0.746 Tc
0.000 0.000 0.254 Tc
```

Calculated values
Space-group type: P4/mmm
Offset from the most stable computed form (meV per atom): 0
Formation energy from the elements (eV/atom): -0.05
Total magnetization (μB per formula unit): 0.00

(5)
CrOs2Ru2: optimized geometry, GGA-PBE.

```
CrOs2Ru2
1.0
4.663 0.000 -0.631
0.000 5.412 0.000
-0.091 0.000 10.873
Cr Ru Os
4 8 8
Direct
0.485 0.873 0.702 Cr
0.515 0.127 0.298 Cr
0.985 0.627 0.702 Cr
0.015 0.373 0.298 Cr
0.617 0.876 0.102 Ru
0.883 0.376 0.898 Ru
0.117 0.624 0.102 Ru
0.748 0.373 0.497 Ru
0.752 0.873 0.503 Ru
0.252 0.627 0.503 Ru
0.248 0.127 0.497 Ru
0.383 0.124 0.898 Ru
0.513 0.623 0.299 Os
0.013 0.877 0.299 Os
0.620 0.373 0.107 Os
0.880 0.873 0.893 Os
0.120 0.127 0.107 Os
0.487 0.377 0.701 Os
0.380 0.627 0.893 Os
0.987 0.123 0.701 Os
```

Calculated values
Space-group type: P2_1/c
Formation energy from the elements (eV/atom): 0.01
Total magnetization (μB per formula unit): 0.00

(6)
TlFe2Ag: optimized geometry, GGA-PBE.

```
TlFe2Ag
1.0
-5.219 -0.666 1.006
-3.698 -2.816 2.663
-1.549 1.938 3.937
Fe Tl Ag
2 1 1
Direct
0.721 0.721 0.779 Fe
0.025 0.025 0.975 Fe
0.489 0.489 0.512 Tl
0.266 0.266 0.234 Ag
```

Calculated values
Space-group type: Cm
Offset from the most stable computed form (meV per atom): 85
Formation energy from the elements (eV/atom): 0.44
Total magnetization (μB per formula unit): 5.32

(7)
Dy6Y2Hg: optimized geometry, GGA-PBE.

```
Dy6Y2Hg
1.0
-0.967 -0.537 -3.372
-6.748 -5.725 2.847
-2.077 9.535 -0.926
Dy Hg Y
6 1 2
Direct
0.000 0.662 0.676 Dy
0.500 0.294 0.000 Dy
0.000 0.014 0.676 Dy
0.000 0.986 0.324 Dy
0.500 0.706 0.000 Dy
0.000 0.338 0.324 Dy
0.000 0.000 0.000 Hg
0.500 0.681 0.362 Y
0.500 0.319 0.638 Y
```

Calculated values
Space-group type: Cmmm
Formation energy from the elements (eV/atom): 0.03
Total magnetization (μB per formula unit): 0.00

(8)
Pm3Er2N4: optimized geometry, GGA-PBE.

```
Pm3Er2N4
1.0
-2.500 2.250 -1.062
-0.903 -3.022 1.580
0.468 6.756 13.153
Pm N Er
3 4 2
Direct
0.334 0.666 0.620 Pm
0.000 0.000 0.000 Pm
0.666 0.334 0.380 Pm
0.666 0.334 0.105 N
0.334 0.666 0.895 N
0.001 0.999 0.708 N
0.999 0.001 0.292 N
0.333 0.667 0.190 Er
0.667 0.333 0.810 Er
```

Calculated values
Space-group type: C2/m
Total magnetization (μB per formula unit): 0.00
E_form (uncorrected) (meV/atom): -1386

Volume values (in Å³/cell) by entry order: 232.8, 82.5, 88.1, 58.3, 274.1, 66.2, 284.8, 159.4.